[1]
ZnFeSi2: optimized geometry, PBE.

```
data_ZnFeSi2
_chemical_formula_sum 'Zn1 Fe1 Si2'
_symmetry_space_group_name_H-M 'P 1 m 1'
_symmetry_Int_Tables_number 6
_cell_length_a 2.662
_cell_length_b 2.745
_cell_length_c 7.582
_cell_angle_alpha 90.00
_cell_angle_beta 99.97
_cell_angle_gamma 90.00
loop_
_symmetry_equiv_pos_as_xyz
'x,y,z'
'x,-y,z'
loop_
_atom_site_label
_atom_site_type_symbol
_atom_site_fract_x
_atom_site_fract_y
_atom_site_fract_z
Zn1 Zn 0.000 0.000 0.000
Fe1 Fe 0.251 0.500 0.486
Si1 Si 0.656 0.000 0.295
Si2 Si 0.846 0.000 0.677
```

Values from the calculation:
magnetization: 0.0 μB per formula unit
raw total energy: -5.289 eV per atom

[2]
ZnFeSi2: optimized geometry, PBE.

```
data_ZnFeSi2
_chemical_formula_sum 'Zn2 Fe2 Si4'
_symmetry_space_group_name_H-M 'I -4 m 2'
_symmetry_Int_Tables_number 119
_symmetry_space_group_name_Hall 'I -4 -2'
_cell_length_a 3.619
_cell_length_b 3.619
_cell_length_c 7.528
_cell_angle_alpha 90.00
_cell_angle_beta 90.00
_cell_angle_gamma 90.00
loop_
_atom_site_label
_atom_site_type_symbol
_atom_site_fract_x
_atom_site_fract_y
_atom_site_fract_z
Zn1 Zn 0.000 0.000 0.000
Fe1 Fe 0.000 0.500 0.250
Si1 Si 0.000 0.000 0.500
Si2 Si 0.000 0.500 0.750
```

Values from the calculation:
magnetization: 0.2 μB per formula unit
raw total energy: -4.990 eV per atom

[3]
ZnFeSi2: optimized geometry, PBE.

```
data_ZnFeSi2
_chemical_formula_sum 'Zn1 Fe1 Si2'
_symmetry_space_group_name_H-M 'P 4/m m m'
_symmetry_Int_Tables_number 123
_symmetry_space_group_name_Hall '-P 4 2'
_cell_length_a 3.714
_cell_length_b 3.714
_cell_length_c 3.595
_cell_angle_alpha 90.00
_cell_angle_beta 90.00
_cell_angle_gamma 90.00
loop_
_atom_site_label
_atom_site_type_symbol
_atom_site_fract_x
_atom_site_fract_y
_atom_site_fract_z
Zn1 Zn 0.000 0.000 0.000
Fe1 Fe 0.500 0.500 0.000
Si1 Si 0.000 0.500 0.500
```

Values from the calculation:
magnetization: 0.0 μB per formula unit
raw total energy: -4.935 eV per atom

[4]
Zn2FeSi: optimized geometry, PBE.

```
data_Zn2FeSi
_chemical_formula_sum 'Zn4 Fe2 Si2'
_symmetry_space_group_name_H-M 'I m m m'
_symmetry_Int_Tables_number 71
_symmetry_space_group_name_Hall '-I 2 2'
_cell_length_a 3.268
_cell_length_b 3.729
_cell_length_c 8.314
_cell_angle_alpha 90.00
_cell_angle_beta 90.00
_cell_angle_gamma 90.00
loop_
_atom_site_label
_atom_site_type_symbol
_atom_site_fract_x
_atom_site_fract_y
_atom_site_fract_z
Zn1 Zn 0.000 0.000 0.248
Fe1 Fe 0.000 0.500 0.500
Si1 Si 0.000 0.500 0.000
```

Values from the calculation:
magnetization: 0.7 μB per formula unit
raw total energy: -4.075 eV per atom

Copy entry 3 word for word.
ZnFeSi2: optimized geometry, PBE.

```
data_ZnFeSi2
_chemical_formula_sum 'Zn1 Fe1 Si2'
_symmetry_space_group_name_H-M 'P 4/m m m'
_symmetry_Int_Tables_number 123
_symmetry_space_group_name_Hall '-P 4 2'
_cell_length_a 3.714
_cell_length_b 3.714
_cell_length_c 3.595
_cell_angle_alpha 90.00
_cell_angle_beta 90.00
_cell_angle_gamma 90.00
loop_
_atom_site_label
_atom_site_type_symbol
_atom_site_fract_x
_atom_site_fract_y
_atom_site_fract_z
Zn1 Zn 0.000 0.000 0.000
Fe1 Fe 0.500 0.500 0.000
Si1 Si 0.000 0.500 0.500
```

Values from the calculation:
magnetization: 0.0 μB per formula unit
raw total energy: -4.935 eV per atom

What is the raw total energy in the fourth record?
-4.075 eV per atom

Which of these has the highest raw total energy?
Zn2FeSi

What is the raw total energy in the fourth record?
-4.075 eV per atom